Entry from Alexandria via LeMat-Bulk: Pr3Sm2Th after structural relaxation (PBE).

Output
As for the total magnetization: 0.00 Bohr magnetons per cell. The calculation puts the density of states at the Fermi level at 1.580 states/eV per atom. As for the total DFT energy (no corrections): -5.1254 eV/atom. The value obtained for the energy relative to the lowest polymorph listed for this composition is 32 meV/atom.

Unit cell a=5.6475 b=8.7019 c=8.7019 alpha=76.20 beta=90.00 gamma=90.00
Positions (direct):
Sm: 0.5765 0.7269 0.4008
Sm: 0.0765 0.2731 0.5992
Sm: 0.0765 0.5992 0.2731
Sm: 0.5765 0.4008 0.7269
Pr: 0.0763 0.0124 0.3517
Pr: 0.5760 0.0674 0.0674
Pr: 0.5763 0.9876 0.6483
Pr: 0.5763 0.6483 0.9876
Pr: 0.0760 0.9326 0.9326
Pr: 0.0763 0.3517 0.0124
Th: 0.5764 0.3202 0.3202
Th: 0.0764 0.6798 0.6798